# Fe3OsF, relaxed, DFT PBE+U
data_Fe3OsF
_chemical_formula_sum 'Fe3 Os1 F1'
_space_group_name_H-M_alt 'P m -3 m'
_space_group_IT_number 221
_space_group_name_Hall '-P 4 2 3'
_cell_length_a 4.826
_cell_length_b 4.826
_cell_length_c 4.826
_cell_angle_alpha 90.00
_cell_angle_beta 90.00
_cell_angle_gamma 90.00
loop_
_atom_site_label
_atom_site_type_symbol
_atom_site_fract_x
_atom_site_fract_y
_atom_site_fract_z
Fe1 Fe 0.000 0.000 0.500
Os1 Os 0.000 0.000 0.000
F1 F 0.500 0.500 0.500
# Raw total energy, eV for the cell shown: -23.83
# Magnetic moment, μB per formula unit: 12.7